Record 1
Computed, not measured: a relaxed ZrTlPb crystal at the PBE level of DFT.

Unit cell a=6.483 b=6.483 c=8.908 alpha=90.00 beta=90.00 gamma=122.82
Fractional positions:
Zr 0.121 0.879 0.931
Zr 0.379 0.621 0.431
Zr 0.621 0.379 0.569
Zr 0.879 0.121 0.069
Tl 0.144 0.356 0.750
Tl 0.356 0.144 0.250
Tl 0.644 0.856 0.750
Tl 0.856 0.644 0.250
Pb 0.140 0.860 0.591
Pb 0.360 0.640 0.091
Pb 0.640 0.360 0.909
Pb 0.860 0.140 0.409

V = 26.2 Å³/atom
energy relative to the lowest polymorph listed for this composition = 0.037 eV per atom
SG = No. 64
E_tot = -57.0 eV/cell
DFT formation energy = 11.8 kJ per mole of atoms
Fermi-level density of states = 8.67 states/eV/cell
crystal system = orthorhombic

---

Record 2
Computed, not measured: a relaxed Rb2TaSe4 crystal at the PBE level of DFT.

Unit cell a=5.159 b=5.159 c=17.246 alpha=90.00 beta=90.00 gamma=90.00
Fractional positions:
Rb 0.000 0.000 0.147
Rb 0.000 0.000 0.853
Rb 0.500 0.500 0.353
Rb 0.500 0.500 0.647
Ta 0.000 0.000 0.500
Ta 0.500 0.500 0.000
Se 0.000 0.000 0.353
Se 0.000 0.000 0.647
Se 0.000 0.500 0.000
Se 0.000 0.500 0.500
Se 0.500 0.000 0.000
Se 0.500 0.000 0.500
Se 0.500 0.500 0.147
Se 0.500 0.500 0.853

energy relative to the elements, uncorrected = -815 meV/atom
V = 32.8 Å³/atom
energy relative to the lowest polymorph listed for this composition = 0.039 eV per atom
SG = No. 139
E_tot = -66.9 eV/cell
Fermi-level density of states = 13.06 states/eV/cell
crystal system = tetragonal

---

Record 3
Computed, not measured: a relaxed Na2Ca2Bi3 crystal at the PBE level of DFT.

Unit cell a=5.245 b=5.501 c=9.325 alpha=80.66 beta=77.91 gamma=64.25
Fractional positions:
Na 0.131 0.147 0.111
Na 0.869 0.853 0.889
Ca 0.377 0.392 0.368
Ca 0.623 0.608 0.632
Bi 0.000 0.000 0.500
Bi 0.242 0.211 0.749
Bi 0.758 0.789 0.251

V = 33.7 Å³/atom
SG = No. 2
E_tot = -21.9 eV/cell
DFT formation energy = -49.6 kJ per mole of atoms
Fermi-level density of states = 3.36 states/eV/cell
crystal system = triclinic

---

Record 4
Computed, not measured: a relaxed Ta2CrPb crystal at the PBE level of DFT.

Unit cell a=5.732 b=7.672 c=3.280 alpha=90.00 beta=90.00 gamma=90.00
Fractional positions:
Ta 0.250 0.250 0.000
Ta 0.250 0.750 0.000
Ta 0.750 0.250 0.000
Ta 0.750 0.750 0.000
Cr 0.000 0.000 0.500
Cr 0.500 0.500 0.500
Pb 0.000 0.500 0.500
Pb 0.500 0.000 0.500

V = 18.0 Å³/atom
SG = No. 65
E_tot = -69.6 eV/cell
DFT formation energy = 54.4 kJ per mole of atoms
Fermi-level density of states = 5.73 states/eV/cell
crystal system = orthorhombic

---

Record 5
Computed, not measured: a relaxed Tb2YIO8 crystal at the PBE level of DFT.

Unit cell a=5.045 b=5.045 c=6.861 alpha=90.00 beta=90.00 gamma=90.86
Fractional positions:
Tb 0.000 0.000 0.249
Tb 0.000 0.000 0.751
Y 0.500 0.500 0.000
I 0.500 0.500 0.500
O 0.192 0.192 0.000
O 0.232 0.232 0.500
O 0.320 0.680 0.293
O 0.320 0.680 0.707
O 0.680 0.320 0.293
O 0.680 0.320 0.707
O 0.768 0.768 0.500
O 0.808 0.808 0.000

energy relative to the elements, uncorrected = -2337 meV/atom
V = 14.6 Å³/atom
SG = No. 65
E_tot = -85.0 eV/cell
Fermi-level density of states = 0.00 states/eV/cell
crystal system = orthorhombic

---

Record 6
Computed, not measured: a relaxed ZrTiNi crystal at the PBE level of DFT.

Unit cell a=4.174 b=6.841 c=6.841 alpha=127.45 beta=90.00 gamma=90.00
Fractional positions:
Zr 0.000 0.000 0.000
Zr 0.000 0.216 0.610
Zr 0.000 0.610 0.216
Ti 0.500 0.354 0.354
Ti 0.500 0.626 0.894
Ti 0.500 0.894 0.626
Ni 0.000 0.577 0.577
Ni 0.500 0.307 0.969
Ni 0.500 0.969 0.307

V = 17.2 Å³/atom
energy relative to the lowest polymorph listed for this composition = 0.015 eV per atom
SG = No. 38
E_tot = -69.1 eV/cell
DFT formation energy = -25.8 kJ per mole of atoms
Fermi-level density of states = 8.25 states/eV/cell
crystal system = orthorhombic